Entry 1:
# SrMgCl2F (PBE, optimized geometry)
# - DOS(E_F) (states/eV/f.u.) = 0.01
# - formation energy without anion corrections (eV per atom) = -1.21
# - raw total energy (eV per atom) = -2.98
# - size of the total moment (μB per formula unit) = 1.000
data_SrMgCl2F
_space_group_name_H-M_alt 'P 4/m m m'
_space_group_IT_number 123
_space_group_name_Hall '-P 4 2'
_cell_length_a 5.385
_cell_length_b 5.385
_cell_length_c 10.835
_cell_angle_alpha 90.00
_cell_angle_beta 90.00
_cell_angle_gamma 90.00
loop_
_atom_site_label
_atom_site_type_symbol
_atom_site_fract_x
_atom_site_fract_y
_atom_site_fract_z
Sr1 Sr 0.000 0.000 0.000
Mg1 Mg 0.000 0.000 0.500
Cl1 Cl 0.000 0.500 0.000
F1 F 0.500 0.500 0.500

Entry 2:
# MgTl2Cl3F (PBE, optimized geometry)
# - DOS(E_F) (states/eV/f.u.) = 0.00
# - formation energy without anion corrections (eV per atom) = -1.70
# - raw total energy (eV per atom) = -3.66
# - size of the total moment (μB per formula unit) = 0.000
data_MgTl2Cl3F
_space_group_name_H-M_alt 'I m m m'
_space_group_IT_number 71
_space_group_name_Hall '-I 2 2'
_cell_length_a 3.971
_cell_length_b 5.216
_cell_length_c 17.005
_cell_angle_alpha 90.00
_cell_angle_beta 90.00
_cell_angle_gamma 90.00
loop_
_atom_site_label
_atom_site_type_symbol
_atom_site_fract_x
_atom_site_fract_y
_atom_site_fract_z
Mg1 Mg 0.000 0.000 0.000
Tl1 Tl 0.000 0.000 0.350
Cl1 Cl 0.000 0.000 0.151
Cl2 Cl 0.000 0.500 0.000
F1 F 0.000 0.500 0.500

Entry 3:
# MgTlCl2F (PBE, optimized geometry)
# - energy above the most stable polymorph in this dataset (meV/atom) = 0.0
# - DOS(E_F) (states/eV/f.u.) = 0.00
# - formation energy without anion corrections (eV per atom) = -1.97
# - raw total energy (eV per atom) = -3.87
# - size of the total moment (μB per formula unit) = 0.000
data_MgTlCl2F
_space_group_name_H-M_alt 'P 4/m m m'
_space_group_IT_number 123
_space_group_name_Hall '-P 4 2'
_cell_length_a 5.251
_cell_length_b 5.251
_cell_length_c 3.912
_cell_angle_alpha 90.00
_cell_angle_beta 90.00
_cell_angle_gamma 90.00
loop_
_atom_site_label
_atom_site_type_symbol
_atom_site_fract_x
_atom_site_fract_y
_atom_site_fract_z
Mg1 Mg 0.000 0.000 0.000
Tl1 Tl 0.500 0.500 0.500
Cl1 Cl 0.000 0.500 0.000
F1 F 0.000 0.000 0.500

> Which formula does entry 3 have?

MgTlCl2F